Density functional theory data (GGA-PBEsol) for CaMgRu2 after structural relaxation.

The value obtained for the spin magnetization is 1.3 μB/f.u. The value obtained for the formation energy from the elements is 47.58 kJ per mole of atoms.

The space group is P4/mmm (No. 123) and the conventional cell measures 3.979, 3.979 and 4.270 Å, with angles of 90.00, 90.00 and 90.00 degrees. Symmetry generates all atoms from Ca at (0.000, 0.000, 0.000), Mg at (0.500, 0.500, 0.000) and Ru at (0.000, 0.500, 0.500).